Below is a relaxed structure of KVSnF6, with properties calculated at the GGA+U level.

Calculated total energy = -47.92 eV per cell
DOS(E_F) = 0.000 states/eV per atom

a = 5.9405 Å, b = 5.8728 Å, c = 4.9780 Å
α = 90.22°, β = 89.99°, γ = 59.57°
With the nearest neighbours (Å) after each atom.
Positions (direct):
V (0.3318, 0.3347, 0.4779)  6 F 1.93-2.06
F (0.6409, 0.2497, 0.6864)  1 V 1.94
F (0.5627, 0.0037, 0.2668)  1 V 2.01
F (0.0080, 0.4356, 0.2702)  1 V 1.99
F (0.2604, 0.0832, 0.6793)  1 V 2.00
Sn (0.6534, 0.6750, 0.5756)  4 F 2.25-2.41
K (0.9962, 0.0045, 0.0724)  6 F 2.66-2.75
F (0.4351, 0.5741, 0.2750)  1 V 2.06, 1 Sn 2.25
F (0.1112, 0.6396, 0.6963)  1 V 1.93